1.
Entry from the Alexandria database: a geometry-optimized MnAl structure (PBE-GGA).

```
6
Lattice="1.346 4.980 -0.002 -1.346 4.980 -0.002 0.000 1.532 5.980" Properties=species:S:1:pos:R:3 pbc="T T T"
Mn 0.000 10.341 3.620
Mn 0.000 11.438 5.955
Al 0.000 7.643 4.121
Al 0.000 3.900 1.970
Mn 0.000 4.229 5.677
Al 0.000 6.501 1.567
```

## Properties
* energy of formation from the pure elements: -0.090 eV per atom
* crystal system: monoclinic
* symmetry: Cm

2.
Entry from the Alexandria database: a geometry-optimized Rb2ZnSnF6 structure (PBE-GGA).

```
10
Lattice="6.304 0.000 0.000 0.000 6.304 0.000 3.152 3.152 4.459" Properties=species:S:1:pos:R:3 pbc="T T T"
F 1.681 4.623 0.000
F 4.623 4.623 0.000
F 3.152 3.152 2.081
F 6.304 6.304 2.378
F 4.623 1.681 0.000
Rb 6.304 3.152 2.230
Rb 3.152 6.304 2.230
F 1.681 1.681 0.000
Zn 3.152 3.152 0.000
Sn 0.000 0.000 0.000
```

## Properties
* formation energy (no corrections): -2.50 eV/atom
* crystal system: cubic
* symmetry: Fm-3m

3.
Entry from the Alexandria database: a geometry-optimized ZrNiCl2 structure (PBE-GGA).

```
4
Lattice="-0.413 0.752 3.341 2.738 -1.512 -1.455 3.305 7.140 -1.198" Properties=species:S:1:pos:R:3 pbc="T T T"
Cl 1.577 3.406 -0.572
Cl 0.076 0.164 -0.027
Ni 1.989 1.405 0.644
Zr 3.642 4.975 0.044
```

## Properties
* formation energy (no corrections): -0.26 eV/atom
* crystal system: orthorhombic
* distance to the lowest polymorph of the same formula: 661.3 meV/atom
* symmetry: Cmmm